# 1
# HoTmSnPb

Crystalline HoTmSnPb at its relaxed geometry (GGA-PBE, Alexandria).

abc: 5.3693 5.3693 5.3693
angles: 60.00 60.00 60.00
Sites, in units of the cell vectors:
Sn  0.0000  0.0000  0.0000
Pb  0.5000  0.5000  0.5000
Tm  0.7500  0.7500  0.7500
Ho  0.2500  0.2500  0.2500

Energy of formation from the pure elements (eV/atom): -0.431
E_tot (eV/cell): -18.48
Calculated volume (Å³/cell): 109.45

---

# 2
# YHoSnPb

Crystalline YHoSnPb at its relaxed geometry (GGA-PBE, Alexandria).

abc: 5.4009 5.4009 5.4009
angles: 60.00 60.00 60.00
Sites, in units of the cell vectors:
Sn  0.2500  0.2500  0.2500
Y  0.0000  0.0000  0.0000
Pb  0.7500  0.7500  0.7500
Ho  0.5000  0.5000  0.5000

Energy of formation from the pure elements (eV/atom): -0.467
E_tot (eV/cell): -20.62
Calculated volume (Å³/cell): 111.40

---

# 3
# SrHoPb

Crystalline SrHoPb at its relaxed geometry (GGA-PBE, Alexandria).

abc: 6.2426 3.6668 9.6142
angles: 79.01 90.00 90.00
Sites, in units of the cell vectors:
Ho  0.5000  0.0000  0.0000
Ho  0.0000  0.0000  0.0000
Sr  0.7500  0.6712  0.6576
Sr  0.2500  0.3288  0.3424
Pb  0.2500  0.1461  0.7078
Pb  0.7500  0.8539  0.2922

Energy of formation from the pure elements (eV/atom): -0.152
E_tot (eV/cell): -20.84
Calculated volume (Å³/cell): 216.04

---

# 4
# SrHo2Pb9

Crystalline SrHo2Pb9 at its relaxed geometry (GGA-PBE, Alexandria).

abc: 4.9768 4.9768 14.4580
angles: 90.00 90.00 90.00
Sites, in units of the cell vectors:
Pb  0.5000  0.0000  0.5000
Pb  0.0000  0.5000  0.5000
Pb  0.5000  0.5000  0.0000
Pb  0.5000  0.0000  0.8258
Pb  0.0000  0.5000  0.1742
Pb  0.5000  0.5000  0.3363
Pb  0.5000  0.0000  0.1742
Pb  0.5000  0.5000  0.6637
Pb  0.0000  0.5000  0.8258
Ho  0.0000  0.0000  0.3393
Ho  0.0000  0.0000  0.6607
Sr  0.0000  0.0000  0.0000

Energy of formation from the pure elements (eV/atom): -0.295
E_tot (eV/cell): -47.75
Calculated volume (Å³/cell): 358.11

---

# 5
# Sr2HoPb9

Crystalline Sr2HoPb9 at its relaxed geometry (GGA-PBE, Alexandria).

abc: 4.9926 4.9926 14.8364
angles: 90.00 90.00 90.00
Sites, in units of the cell vectors:
Pb  0.0000  0.5000  0.8404
Pb  0.5000  0.0000  0.8404
Pb  0.5000  0.0000  0.1596
Pb  0.5000  0.5000  0.3314
Pb  0.5000  0.5000  0.0000
Pb  0.0000  0.5000  0.1596
Pb  0.5000  0.0000  0.5000
Pb  0.5000  0.5000  0.6686
Pb  0.0000  0.5000  0.5000
Ho  0.0000  0.0000  0.0000
Sr  0.0000  0.0000  0.6720
Sr  0.0000  0.0000  0.3280

Energy of formation from the pure elements (eV/atom): -0.327
E_tot (eV/cell): -45.24
Calculated volume (Å³/cell): 369.82

---

# 6
# Sr3HoPb12

Crystalline Sr3HoPb12 at its relaxed geometry (GGA-PBE, Alexandria).

abc: 4.9848 4.9848 20.0196
angles: 90.00 90.00 90.00
Sites, in units of the cell vectors:
Pb  0.5000  0.5000  0.7520
Pb  0.5000  0.5000  0.0000
Pb  0.0000  0.5000  0.3735
Pb  0.5000  0.5000  0.2480
Pb  0.5000  0.0000  0.1190
Pb  0.5000  0.0000  0.6265
Pb  0.5000  0.0000  0.8810
Pb  0.0000  0.5000  0.8810
Pb  0.5000  0.5000  0.5000
Pb  0.5000  0.0000  0.3735
Pb  0.0000  0.5000  0.6265
Pb  0.0000  0.5000  0.1190
Sr  0.0000  0.0000  0.7549
Sr  0.0000  0.0000  0.2451
Sr  0.0000  0.0000  0.5000
Ho  0.0000  0.0000  0.0000

Energy of formation from the pure elements (eV/atom): -0.327
E_tot (eV/cell): -59.36
Calculated volume (Å³/cell): 497.45